Density functional theory data (GGA-PBE) for a relaxed KHfMg6 crystal.

For the energy above the most stable polymorph in this dataset, the calculation gives 0.005 eV/atom. Its calculated total energy is -2.3422 eV per atom. For the size of the total moment, the calculation gives 0.0 μB per formula unit.

Cell: 6.719 6.719 4.591 Å, 90.00 90.00 90.00°
Fractional coordinates of all 8 atoms:
Mg: 0.850 0.850 0.000
Mg: 0.125 0.625 0.500
Hf: 0.625 0.625 0.500
Mg: 0.850 0.400 0.000
K: 0.125 0.125 0.500
Mg: 0.400 0.400 0.000
Mg: 0.625 0.125 0.500
Mg: 0.400 0.850 0.000

=====

Density functional theory data (GGA-PBE) for a relaxed K2HfMg crystal.

Its calculated total energy is -2.2521 eV per atom. For the size of the total moment, the calculation gives 2.0 μB per formula unit.

Cell: 9.887 9.887 7.709 Å, 50.11 50.11 90.00°
Fractional coordinates of all 8 atoms:
Mg: 0.250 0.750 0.500
Mg: 0.500 0.500 0.000
K: 0.875 0.853 0.750
K: 0.603 0.125 0.250
Hf: 0.000 0.000 0.000
Hf: 0.750 0.250 0.500
K: 0.375 0.397 0.750
K: 0.147 0.625 0.250

=====

Summary of calculated density in Mg/m³
2.91 2.94
(order as listed above)
Summary of ΔE_f in meV/atom
235 1184
(order as listed above)